Record 1
Here is a relaxed structure of KPrCuSe3 from the Open Quantum Materials Database. Energies are from GGA-PBE.

## Properties
Total moment, μB/atom: 0.0007
Electronic total energy, eV/cell: -107.98
Symmetry: Pnma, No. 62

a b c (Å): 11.759 4.318 12.489
angles (deg): 90.00 90.00 90.00
Atoms (fractional coordinates):
K1 0.175 0.250 0.001
K2 0.325 0.750 0.501
K3 0.675 0.250 0.499
K4 0.825 0.750 0.999
Pr1 0.017 0.250 0.673
Pr2 0.483 0.750 0.173
Pr3 0.517 0.250 0.827
Pr4 0.983 0.750 0.327
Cu1 0.245 0.750 0.791
Cu2 0.255 0.250 0.291
Cu3 0.745 0.750 0.709
Cu4 0.755 0.250 0.209
Se1 0.046 0.750 0.835
Se2 0.115 0.250 0.441
Se3 0.219 0.750 0.209
Se4 0.281 0.250 0.709
Se5 0.385 0.750 0.941
Se6 0.454 0.250 0.335
Se7 0.546 0.750 0.665
Se8 0.615 0.250 0.059
Se9 0.719 0.750 0.291
Se10 0.781 0.250 0.791
Se11 0.885 0.750 0.559
Se12 0.954 0.250 0.165


Record 2
Here is a relaxed structure of InAuNO from the Open Quantum Materials Database. Energies are from GGA-PBE.

## Properties
Symmetry: Pca2_1, No. 29
Energy above the most stable polymorph in this dataset, eV per formula unit: 0.639

a b c (Å): 6.437 7.541 5.379
angles (deg): 90.00 90.00 90.00
Atoms (fractional coordinates):
In1 0.092 0.119 0.000
In2 0.408 0.119 0.500
In3 0.592 0.881 0.000
In4 0.908 0.881 0.500
Au1 0.011 0.375 0.571
Au2 0.489 0.375 0.071
Au3 0.511 0.625 0.571
Au4 0.989 0.625 0.071
N1 0.083 0.110 0.597
N2 0.417 0.110 0.097
N3 0.583 0.890 0.597
N4 0.917 0.890 0.097
O1 0.024 0.644 0.654
O2 0.476 0.644 0.154
O3 0.524 0.356 0.654
O4 0.976 0.356 0.154


Record 3
Here is a relaxed structure of Hf2Fe3W4N3 from the Open Quantum Materials Database. Energies are from GGA-PBE.

## Properties
Total moment, μB/atom: 0.3293
Electronic total energy, eV/cell: -251.79
Symmetry: C2/c, No. 15

a b c (Å): 5.151 5.151 13.541
angles (deg): 100.93 100.93 60.23
Atoms (fractional coordinates):
Hf1 0.041 0.879 0.624
Hf2 0.121 0.959 0.876
Hf3 0.879 0.041 0.124
Hf4 0.959 0.121 0.376
Fe1 0.083 0.423 0.749
Fe2 0.411 0.589 0.250
Fe3 0.423 0.083 0.249
Fe4 0.577 0.917 0.751
Fe5 0.589 0.411 0.750
Fe6 0.917 0.577 0.251
W1 0.199 0.370 0.092
W2 0.309 0.461 0.408
W3 0.370 0.199 0.592
W4 0.461 0.309 0.908
W5 0.539 0.691 0.092
W6 0.630 0.801 0.408
W7 0.691 0.539 0.592
W8 0.801 0.630 0.908
N1 0.000 0.500 0.500
N2 0.149 0.701 0.000
N3 0.299 0.851 0.500
N4 0.500 0.000 0.000
N5 0.701 0.149 0.500
N6 0.851 0.299 0.000


Record 4
Here is a relaxed structure of Sm4Te3P from the Open Quantum Materials Database. Energies are from GGA-PBE.

## Properties
Total moment, μB/atom: 0.0008
Electronic total energy, eV/cell: -91.22
Symmetry: Cmmm, No. 65

a b c (Å): 8.878 12.384 4.296
angles (deg): 90.00 90.00 90.00
Atoms (fractional coordinates):
Sm1 0.000 0.228 0.000
Sm2 0.000 0.772 0.000
Sm3 0.217 0.000 0.500
Sm4 0.283 0.500 0.500
Sm5 0.500 0.272 0.000
Sm6 0.500 0.728 0.000
Sm7 0.717 0.500 0.500
Sm8 0.783 0.000 0.500
Te1 0.000 0.500 0.000
Te2 0.250 0.250 0.500
Te3 0.250 0.750 0.500
Te4 0.500 0.000 0.000
Te5 0.750 0.250 0.500
Te6 0.750 0.750 0.500
P1 0.000 0.000 0.000
P2 0.500 0.500 0.000


Record 5
Here is a relaxed structure of NdSi from the Open Quantum Materials Database. Energies are from GGA-PBE.

## Properties
Total moment, μB/atom: 0.0039
Electronic total energy, eV/cell: -21.33
Symmetry: P6_3/mmc, No. 194

a b c (Å): 4.083 4.083 7.793
angles (deg): 90.00 90.00 120.00
Atoms (fractional coordinates):
Nd1 0.000 0.000 0.000
Nd2 0.000 0.000 0.500
Si1 0.333 0.667 0.250
Si2 0.667 0.333 0.750


Record 6
Here is a relaxed structure of LiTeAsW from the Open Quantum Materials Database. Energies are from GGA-PBE.

## Properties
Total moment, μB/atom: 0.3922
Symmetry: F-43m, No. 216
Energy above the most stable polymorph in this dataset, eV per formula unit: 2.296

a b c (Å): 6.601 6.601 6.601
angles (deg): 90.00 90.00 90.00
Atoms (fractional coordinates):
Li1 0.000 0.000 0.000
Li2 0.000 0.500 0.500
Li3 0.500 0.000 0.500
Li4 0.500 0.500 0.000
Te1 0.250 0.250 0.250
Te2 0.250 0.750 0.750
Te3 0.750 0.250 0.750
Te4 0.750 0.750 0.250
As1 0.000 0.000 0.500
As2 0.000 0.500 0.000
As3 0.500 0.000 0.000
As4 0.500 0.500 0.500
W1 0.250 0.250 0.750
W2 0.250 0.750 0.250
W3 0.750 0.250 0.250
W4 0.750 0.750 0.750